Material: NpCoSnRh
Method: DFT, PBE-GGA
State: optimized geometry

Calculated values
- ΔE_f (meV per atom) = -186
- uncorrected energy (eV/atom) = -8.0364

Cell lengths 6.588, 6.588, 6.588 Å; angles 90.00, 90.00, 90.00 degrees
Space group F-43m (No. 216)
Inequivalent atoms, fractional coordinates:
Np (0.000, 0.000, 0.000) (multiplicity 4)
Co (0.250, 0.250, 0.250) (multiplicity 4)
Sn (0.000, 0.000, 0.500) (multiplicity 4)
Rh (0.250, 0.250, 0.750) (multiplicity 4)